No. 1
HfTh2In: relaxed, PBE-GGA.

DFT formation energy: 0.254 eV per atom
Space-group type: R-3m (166)
Total magnetization: 0.000 μB/f.u.
Calculated total energy: -6.629 eV per atom
ρ: 10.573 g/cm³

Cell: 3.3649 3.3649 36.3931 Å, 90.00 90.00 120.00°
Fractional coordinates of all 12 atoms:
Hf1 0.0000 0.0000 0.0000
Hf2 0.3333 0.6667 0.6667
Hf3 0.6667 0.3333 0.3333
Th1 0.0000 0.0000 0.4084
Th2 0.0000 0.0000 0.5916
Th3 0.3333 0.6667 0.0751
Th4 0.3333 0.6667 0.2583
Th5 0.6667 0.3333 0.7417
Th6 0.6667 0.3333 0.9249
In1 0.0000 0.0000 0.5000
In2 0.3333 0.6667 0.1667
In3 0.6667 0.3333 0.8333

***

No. 2
BaLaZr2: relaxed, PBE-GGA.

DFT formation energy: 0.467 eV per atom
Space-group type: Imm2 (44)
Total magnetization: 0.000 μB/f.u.
Calculated total energy: -5.519 eV per atom
ρ: 5.954 g/cm³

Cell: 3.4677 6.0264 12.2419 Å, 90.00 90.00 90.00°
Fractional coordinates of all 8 atoms:
Ba1 0.0000 0.0000 0.0000
Ba2 0.5000 0.5000 0.5000
La1 0.0000 0.5000 0.7833
La2 0.5000 0.0000 0.2833
Zr1 0.0000 0.0000 0.5376
Zr2 0.0000 0.5000 0.2342
Zr3 0.5000 0.0000 0.7342
Zr4 0.5000 0.5000 0.0376

***

> Number 2 is which compound?

BaLaZr2

***

Repeat the second record exactly.
BaLaZr2: relaxed, PBE-GGA.

DFT formation energy: 0.467 eV per atom
Space-group type: Imm2 (44)
Total magnetization: 0.000 μB/f.u.
Calculated total energy: -5.519 eV per atom
ρ: 5.954 g/cm³

Cell: 3.4677 6.0264 12.2419 Å, 90.00 90.00 90.00°
Fractional coordinates of all 8 atoms:
Ba1 0.0000 0.0000 0.0000
Ba2 0.5000 0.5000 0.5000
La1 0.0000 0.5000 0.7833
La2 0.5000 0.0000 0.2833
Zr1 0.0000 0.0000 0.5376
Zr2 0.0000 0.5000 0.2342
Zr3 0.5000 0.0000 0.7342
Zr4 0.5000 0.5000 0.0376

***

> What is the ρ in the first record?

10.573 g/cm³

***

> DFT formation energy of number 2 (BaLaZr2)?

0.467 eV per atom